! GGA-PBE Zn2NiOs, relaxed; values from VASP
! Magnetization, μB/cell: 0.0
! Energy of formation from the pure elements, meV/atom: 92
! Crystal system: tetragonal
! Space-group type: P4mm (99)
! DFT total energy, eV/atom: -4.798
&SYSTEM
  ibrav = 0, nat = 4, ntyp = 3
/
ATOMIC_SPECIES
Zn 65.41 Zn.upf
Ni 58.69 Ni.upf
Os 190.23 Os.upf
CELL_PARAMETERS angstrom
2.676 0.000 0.000
0.000 2.676 0.000
0.000 0.000 7.553
ATOMIC_POSITIONS angstrom
Zn 0.000 0.000 0.000
Zn 1.338 1.338 2.080
Ni 0.000 0.000 3.846
Os 1.338 1.338 5.566

! GGA-PBE LiCaAu, relaxed; values from VASP
! Magnetization, μB/cell: 0.0
! Energy of formation from the pure elements, meV/atom: -536
! Crystal system: hexagonal
! Space-group type: P-6m2 (187)
! DFT total energy, eV/atom: -2.934
&SYSTEM
  ibrav = 0, nat = 3, ntyp = 3
/
ATOMIC_SPECIES
Li 6.94 Li.upf
Ca 40.08 Ca.upf
Au 196.97 Au.upf
CELL_PARAMETERS angstrom
4.446 0.000 0.000
-2.223 3.850 0.000
0.000 0.000 4.064
ATOMIC_POSITIONS angstrom
Li 0.000 0.000 0.000
Ca 0.000 2.567 2.032
Au 2.223 1.283 0.000

! GGA-PBE Tm2AlSe4, relaxed; values from VASP
! Raw formation energy, eV per atom: -1.173
! Magnetization, μB/cell: 0.5
! Crystal system: tetragonal
! Space-group type: I-42m (121)
! DFT total energy, eV/atom: -4.977
&SYSTEM
  ibrav = 0, nat = 7, ntyp = 3
/
ATOMIC_SPECIES
Tm 168.93 Tm.upf
Al 26.98 Al.upf
Se 78.96 Se.upf
CELL_PARAMETERS angstrom
-3.173 3.173 5.615
3.173 -3.173 5.615
3.173 3.173 -5.615
ATOMIC_POSITIONS angstrom
Tm 3.173 0.000 2.808
Tm 0.000 3.173 2.808
Al 0.000 0.000 0.000
Se 1.698 -1.698 4.342
Se 1.475 1.475 1.274
Se -1.698 1.698 4.342
Se 1.698 1.698 6.889

! GGA-PBE AlPd2Pt5, relaxed; values from VASP
! Magnetization, μB/cell: 0.0
! Energy of formation from the pure elements, meV/atom: -355
! Crystal system: orthorhombic
! Space-group type: Pbam (55)
! DFT total energy, eV/atom: -5.897
&SYSTEM
  ibrav = 0, nat = 16, ntyp = 3
/
ATOMIC_SPECIES
Al 26.98 Al.upf
Pd 106.42 Pd.upf
Pt 195.08 Pt.upf
CELL_PARAMETERS angstrom
5.555 0.000 0.000
0.000 11.170 0.000
0.000 0.000 3.940
ATOMIC_POSITIONS angstrom
Al 0.000 0.000 0.000
Al 2.778 5.585 0.000
Pd 1.363 1.359 1.970
Pd 1.415 6.944 1.970
Pd 4.140 4.226 1.970
Pd 4.193 9.812 1.970
Pt 0.000 5.585 0.000
Pt 0.022 8.468 0.000
Pt 1.382 4.207 1.970
Pt 1.395 9.792 1.970
Pt 2.756 2.883 0.000
Pt 2.778 0.000 0.000
Pt 2.799 8.288 0.000
Pt 4.160 1.378 1.970
Pt 4.173 6.963 1.970
Pt 5.533 2.703 0.000